Entry from the Alexandria database: a geometry-optimized TbAuO structure (GGA-PBE).

```
6
Lattice="3.901 0.000 0.000 0.000 3.901 0.000 0.000 0.000 7.246" Properties=species:S:1:pos:R:3 pbc="T T T"
Au 1.950 0.000 0.582
Au 0.000 1.950 6.664
Tb 0.000 1.950 2.496
Tb 1.950 0.000 4.749
O 0.000 0.000 3.623
O 1.950 1.950 3.623
```

Properties
Symmetry = P4/nmm, No. 129
Total magnetic moment = 0.0 Bohr magnetons per cell
Offset from the most stable computed form = 0 meV/atom
Calculated volume = 110.24 Å³ per cell
Raw formation energy = -217.7 kJ per mole of atoms

Entry from the Alexandria database: a geometry-optimized Tb3AuO6 structure (GGA-PBE).

```
20
Lattice="5.591 0.000 0.000 0.000 7.242 0.085 0.000 -1.533 7.078" Properties=species:S:1:pos:R:3 pbc="T T T"
O 3.626 0.367 5.564
O 0.830 5.342 1.599
O 3.852 3.604 4.824
O 1.048 -0.119 4.173
O 1.048 1.614 6.348
O 4.391 6.932 0.332
O 1.596 -1.223 6.831
O 1.056 3.898 4.590
O 3.843 4.094 0.815
O 3.852 1.810 2.573
O 3.843 5.828 2.990
O 1.056 2.104 2.339
Tb 2.582 5.537 4.788
Tb 5.378 0.171 2.375
Tb 2.288 1.963 4.292
Tb 2.582 2.277 0.697
Tb 5.084 3.746 2.871
Tb 5.378 3.432 6.466
Au 2.604 6.083 1.008
Au 5.400 -0.375 6.155
```

Properties
Symmetry = Cmc2_1, No. 36
Total magnetic moment = 0.0 Bohr magnetons per cell
Calculated volume = 287.32 Å³ per cell
Raw formation energy = -249.8 kJ per mole of atoms

Entry from the Alexandria database: a geometry-optimized TbTmAu2O8 structure (GGA-PBE).

```
12
Lattice="5.295 0.000 0.000 0.000 5.295 0.000 -2.647 -2.647 5.267" Properties=species:S:1:pos:R:3 pbc="T T T"
O 3.990 3.890 1.301
O 1.243 1.343 3.964
O 1.243 -1.343 3.966
O 1.304 3.890 1.302
O -1.243 1.343 3.966
O -1.243 -1.343 3.964
O 3.991 1.404 1.302
O 1.305 1.404 1.301
Tm 0.000 0.000 0.000
Au 0.000 2.647 2.633
Au 2.647 2.647 0.000
Tb 2.647 0.000 2.633
```

Properties
Symmetry = I-4m2, No. 119
Total magnetic moment = 0.0 Bohr magnetons per cell
Calculated volume = 147.64 Å³ per cell
Raw formation energy = -108.2 kJ per mole of atoms

Entry from the Alexandria database: a geometry-optimized TbZnAuO4 structure (GGA-PBE).

```
14
Lattice="6.286 0.000 0.000 -3.143 6.097 -0.304 0.000 -3.561 5.857" Properties=species:S:1:pos:R:3 pbc="T T T"
O 1.406 4.813 0.921
O 4.549 -2.277 4.632
O -1.406 4.813 0.921
O 0.000 2.091 1.724
O 3.143 1.823 1.561
O 0.000 0.712 3.992
O 1.737 -2.277 4.632
O 3.143 0.444 3.829
Tb 3.143 0.000 0.000
Tb 3.143 -1.781 2.928
Zn 3.143 4.349 0.639
Zn 0.000 -1.814 4.914
Au -1.571 1.268 2.776
Au 1.571 1.268 2.776
```

Properties
Symmetry = Imma, No. 74
Total magnetic moment = 0.0 Bohr magnetons per cell
Calculated volume = 217.65 Å³ per cell
Raw formation energy = -149.8 kJ per mole of atoms

Entry from the Alexandria database: a geometry-optimized Tc3AuO12 structure (GGA-PBE).

```
32
Lattice="8.129 0.000 3.926 3.117 7.508 3.926 -0.277 -0.185 10.954" Properties=species:S:1:pos:R:3 pbc="T T T"
O 2.811 5.295 4.204
O 7.415 7.042 10.813
O 6.074 0.823 4.338
O 7.959 1.732 11.187
O 5.574 5.536 5.688
O 3.585 0.302 12.365
O 4.938 6.895 14.227
O 7.296 3.025 5.710
O 5.456 1.448 9.815
O 3.323 4.228 9.681
O 5.548 3.195 14.245
O 10.269 6.754 16.756
O 1.126 0.566 1.866
O 6.439 4.484 11.269
O 4.606 6.687 11.165
O 1.945 3.899 12.733
O 1.979 4.148 7.255
O 5.894 5.764 8.750
O 4.691 3.233 7.353
O 8.310 5.578 7.023
O 7.525 3.093 8.677
O 8.109 1.917 14.154
O 7.723 0.237 8.768
O 2.577 1.690 8.574
Tc 6.106 5.984 10.512
Tc 10.053 5.458 6.675
Tc 5.500 7.192 5.035
Tc 7.148 1.612 9.606
Tc 3.134 3.345 8.226
Tc 6.874 2.322 4.129
Au 0.774 0.516 8.778
Au 6.535 4.363 7.227
```

Properties
Symmetry = R3c, No. 161
Total magnetic moment = 4.1 Bohr magnetons per cell
Calculated volume = 680.43 Å³ per cell
Raw formation energy = -97.9 kJ per mole of atoms

Entry from the Alexandria database: a geometry-optimized TcAu3O structure (GGA-PBE).

```
5
Lattice="-2.199 -3.859 -0.239 2.863 -1.810 2.882 -2.598 1.271 3.379" Properties=species:S:1:pos:R:3 pbc="T T T"
Tc -0.966 -2.199 3.011
Au 1.432 -0.905 1.441
Au -1.299 0.636 1.690
Au -1.099 -1.929 -0.119
O 0.000 0.000 0.000
```

Properties
Symmetry = Pm-3m, No. 221
Total magnetic moment = 3.4 Bohr magnetons per cell
Offset from the most stable computed form = 0 meV/atom
Calculated volume = 87.98 Å³ per cell
Raw formation energy = 85.9 kJ per mole of atoms

Entry from the Alexandria database: a geometry-optimized TcAuO4 structure (GGA-PBE).

```
24
Lattice="-2.460 -2.406 -7.484 -5.044 -2.591 2.491 -5.554 9.600 -1.260" Properties=species:S:1:pos:R:3 pbc="T T T"
O -8.421 6.279 -1.517
O -4.864 4.597 -2.145
O -8.250 2.576 -1.908
O -8.786 5.826 -7.310
O -4.807 2.028 -4.345
O -5.101 -2.033 -1.462
O -10.362 5.118 -5.038
O -7.957 6.636 -4.791
O -5.636 1.218 -6.864
O -4.272 -1.223 1.057
O -7.422 3.386 0.611
O -4.637 -1.676 -4.737
O -7.311 0.622 -0.063
O -2.695 -0.515 -1.215
O -8.194 0.006 -4.108
O -5.746 3.981 -6.190
Au -6.629 5.464 -1.844
Au -2.512 1.353 -1.876
Au -10.546 3.250 -4.377
Au -6.429 -0.861 -4.409
Tc -4.818 2.466 -6.008
Tc -8.239 2.137 -0.245
Tc -9.342 6.369 -5.776
Tc -3.715 -1.766 -0.477
```

Properties
Symmetry = Pnma, No. 62
Total magnetic moment = 0.0 Bohr magnetons per cell
Calculated volume = 569.41 Å³ per cell
Raw formation energy = -88.3 kJ per mole of atoms

Entry from the Alexandria database: a geometry-optimized Tc2AuO8 structure (GGA-PBE).

```
11
Lattice="5.977 -0.116 1.980 0.423 6.140 0.525 0.663 -0.116 6.262" Properties=species:S:1:pos:R:3 pbc="T T T"
O 5.744 0.909 3.981
O 5.842 2.432 7.250
O 2.668 0.909 6.459
O 1.320 4.999 4.786
O 1.223 3.476 1.517
O 2.427 1.482 3.012
O 4.396 4.999 2.308
O 4.638 4.426 5.755
Tc 5.693 4.140 7.065
Tc 1.371 1.768 1.702
Au 0.000 0.000 0.000
```

Properties
Symmetry = C2/m, No. 12
Total magnetic moment = 1.0 Bohr magnetons per cell
Calculated volume = 222.27 Å³ per cell
Raw formation energy = -86.6 kJ per mole of atoms

Entry from the Alexandria database: a geometry-optimized TcAu3O structure (GGA-PBE).

```
5
Lattice="-3.930 -3.057 -0.306 0.935 -0.718 -4.847 2.926 -3.876 1.139" Properties=species:S:1:pos:R:3 pbc="T T T"
Au -1.965 -1.528 -0.153
Au 1.463 -1.938 0.569
Au 0.468 -0.359 -2.423
Tc 0.000 0.000 0.000
O -0.034 -3.825 -2.007
```

Properties
Symmetry = Pm-3m, No. 221
Total magnetic moment = 0.2 Bohr magnetons per cell
Offset from the most stable computed form = 914 meV/atom
Calculated volume = 124.10 Å³ per cell
Raw formation energy = 174.1 kJ per mole of atoms

Entry from the Alexandria database: a geometry-optimized TcAu2O structure (GGA-PBE).

```
8
Lattice="7.129 0.000 0.000 0.000 7.129 0.000 3.565 3.565 2.523" Properties=species:S:1:pos:R:3 pbc="T T T"
Tc 7.129 3.565 1.261
Tc 0.000 0.000 0.000
Au 2.079 5.347 0.631
Au 5.347 5.643 1.892
Au 8.911 8.615 1.892
Au 5.051 1.782 0.631
O 3.565 3.565 0.000
O 3.565 7.129 1.261
```

Properties
Symmetry = I-42d, No. 122
Total magnetic moment = 6.1 Bohr magnetons per cell
Calculated volume = 128.22 Å³ per cell
Raw formation energy = 59.6 kJ per mole of atoms

Entry from the Alexandria database: a geometry-optimized TcTeAuO2 structure (GGA-PBE).

```
5
Lattice="-0.158 -1.501 3.531 0.241 -3.531 -1.490 5.895 0.246 0.368" Properties=species:S:1:pos:R:3 pbc="T T T"
Te 2.948 0.123 0.184
Au 2.989 -2.393 1.205
O -0.079 -0.751 1.766
O 0.120 -1.766 -0.745
Tc 0.000 0.000 0.000
```

Properties
Symmetry = P4/mmm, No. 123
Total magnetic moment = 0.0 Bohr magnetons per cell
Calculated volume = 87.19 Å³ per cell
Raw formation energy = -66.6 kJ per mole of atoms

Entry from the Alexandria database: a geometry-optimized TlTc2AuO8 structure (GGA-PBE).

```
12
Lattice="5.877 0.000 0.000 2.938 5.970 0.270 2.938 2.510 6.555" Properties=species:S:1:pos:R:3 pbc="T T T"
Au 0.000 0.000 0.000
O 2.938 3.117 2.308
O 8.815 5.364 4.518
O 7.395 7.733 5.349
O 10.235 7.733 5.349
O 5.877 4.871 6.131
O 5.877 3.609 0.695
O 4.358 0.748 1.477
O 1.518 0.748 1.477
Tl 5.877 4.240 3.413
Tc 8.815 6.709 5.608
Tc 2.938 1.772 1.218
```

Properties
Symmetry = C2/m, No. 12
Total magnetic moment = 0.0 Bohr magnetons per cell
Calculated volume = 226.00 Å³ per cell
Raw formation energy = -104.8 kJ per mole of atoms

Entry from the Alexandria database: a geometry-optimized Y2TcAuO structure (GGA-PBE).

```
5
Lattice="-1.426 -5.228 -0.823 4.574 -1.037 -1.339 1.260 -1.163 5.206" Properties=species:S:1:pos:R:3 pbc="T T T"
Au 0.000 0.000 0.000
Y -0.713 -2.614 -0.411
Y 0.630 -0.581 2.603
Tc 2.287 -0.519 -0.669
O 2.204 -3.714 1.522
```

Properties
Symmetry = P4/mmm, No. 123
Total magnetic moment = 2.6 Bohr magnetons per cell
Calculated volume = 146.52 Å³ per cell
Raw formation energy = 74.2 kJ per mole of atoms

Entry from the Alexandria database: a geometry-optimized TeAuO3 structure (GGA-PBE).

```
5
Lattice="-1.574 0.583 -3.684 -2.026 -3.491 0.313 -3.132 1.965 1.649" Properties=species:S:1:pos:R:3 pbc="T T T"
Te 0.000 0.000 0.000
O -0.787 0.291 -1.842
O -1.566 0.983 0.824
O -1.013 -1.745 0.157
Au -3.366 -0.471 -0.861
```

Properties
Symmetry = Pm-3m, No. 221
Total magnetic moment = 0.0 Bohr magnetons per cell
Calculated volume = 66.35 Å³ per cell
Raw formation energy = -18.1 kJ per mole of atoms

Entry from the Alexandria database: a geometry-optimized Te3AuO structure (GGA-PBE).

```
5
Lattice="-4.815 0.158 0.358 -0.383 -1.023 -4.705 -0.078 -4.718 1.032" Properties=species:S:1:pos:R:3 pbc="T T T"
O 0.000 0.000 0.000
Te -2.407 0.079 0.179
Te -0.192 -0.512 -2.353
Te -0.039 -2.359 0.516
Au -2.638 -2.792 -1.657
```

Properties
Symmetry = Pm-3m, No. 221
Total magnetic moment = 0.0 Bohr magnetons per cell
Offset from the most stable computed form = 0 meV/atom
Calculated volume = 112.71 Å³ per cell
Raw formation energy = 35.2 kJ per mole of atoms

Entry from the Alexandria database: a geometry-optimized TeAuO3 structure (GGA-PBE).

```
10
Lattice="3.356 0.000 0.000 -1.678 9.815 1.648 0.000 -2.441 4.631" Properties=species:S:1:pos:R:3 pbc="T T T"
Au 0.000 -0.021 1.267
Au 1.678 7.395 5.012
Te 0.000 6.584 1.532
Te 1.678 0.789 4.746
O 0.000 -0.333 3.427
O 1.678 7.707 2.852
O 1.678 3.551 5.134
O 0.000 5.714 5.088
O 1.678 1.660 1.191
O 0.000 3.823 1.145
```

Properties
Symmetry = C2/m, No. 12
Total magnetic moment = 0.0 Bohr magnetons per cell
Calculated volume = 166.01 Å³ per cell
Raw formation energy = -37.0 kJ per mole of atoms

Entry from the Alexandria database: a geometry-optimized Te2AuO structure (GGA-PBE).

```
4
Lattice="2.483 0.000 6.911 -1.241 2.150 6.911 -1.241 -2.150 6.911" Properties=species:S:1:pos:R:3 pbc="T T T"
O 0.000 0.000 0.000
Te 0.000 0.000 18.693
Te 0.000 0.000 2.040
Au 0.000 0.000 10.367
```

Properties
Symmetry = R-3m, No. 166
Total magnetic moment = 0.0 Bohr magnetons per cell
Calculated volume = 110.69 Å³ per cell
Raw formation energy = -12.4 kJ per mole of atoms

Entry from the Alexandria database: a geometry-optimized Te3AuO structure (GGA-PBE).

```
5
Lattice="5.460 0.000 0.000 0.000 5.460 0.000 0.000 0.000 5.460" Properties=species:S:1:pos:R:3 pbc="T T T"
Te 2.730 0.000 0.000
Te 0.000 0.000 2.730
Te 0.000 2.730 0.000
O 2.730 2.730 2.730
Au 0.000 0.000 0.000
```

Properties
Symmetry = Pm-3m, No. 221
Total magnetic moment = 2.1 Bohr magnetons per cell
Offset from the most stable computed form = 617 meV/atom
Calculated volume = 162.74 Å³ per cell
Raw formation energy = 94.8 kJ per mole of atoms

Entry from the Alexandria database: a geometry-optimized Te2AuO structure (GGA-PBE).

```
4
Lattice="1.844 0.000 9.167 -0.922 1.597 9.167 -0.922 -1.597 9.167" Properties=species:S:1:pos:R:3 pbc="T T T"
Te 0.000 0.000 24.726
Te 0.000 0.000 2.775
Au 0.000 0.000 0.000
O 0.000 0.000 13.750
```

Properties
Symmetry = R-3m, No. 166
Total magnetic moment = 0.0 Bohr magnetons per cell
Calculated volume = 80.94 Å³ per cell
Raw formation energy = 21.1 kJ per mole of atoms

Entry from the Alexandria database: a geometry-optimized TeAu2O structure (GGA-PBE).

```
4
Lattice="-2.738 2.325 2.971 -3.613 2.470 -1.605 -4.356 -1.462 0.786" Properties=species:S:1:pos:R:3 pbc="T T T"
Au -2.677 0.833 0.538
Au -8.030 2.499 1.615
Te -5.354 1.666 1.076
O 0.000 0.000 0.000
```

Properties
Symmetry = Fm-3m, No. 225
Total magnetic moment = 0.0 Bohr magnetons per cell
Offset from the most stable computed form = 311 meV/atom
Calculated volume = 71.63 Å³ per cell
Raw formation energy = 52.9 kJ per mole of atoms

Entry from the Alexandria database: a geometry-optimized TeAuO structure (GGA-PBE).

```
12
Lattice="-3.137 -2.930 -0.543 5.535 -6.274 1.874 -3.237 2.366 5.933" Properties=species:S:1:pos:R:3 pbc="T T T"
Au -1.664 -2.813 -0.071
Au -0.697 -4.936 3.801
Au 0.825 -4.025 7.336
Au -0.143 -1.902 3.463
O -0.285 -5.810 1.676
O -3.677 -0.562 3.878
O 2.838 -6.276 3.387
O -0.554 -1.028 5.588
Te -2.026 -4.295 6.085
Te 1.802 -4.995 4.991
Te -2.642 -1.843 2.273
Te 1.187 -2.543 1.180
```

Properties
Symmetry = P2_1/c, No. 14
Total magnetic moment = 0.0 Bohr magnetons per cell
Calculated volume = 248.63 Å³ per cell
Raw formation energy = -24.2 kJ per mole of atoms

Entry from the Alexandria database: a geometry-optimized Te2AuO structure (GGA-PBE).

```
8
Lattice="5.335 0.000 0.000 0.000 5.335 0.000 2.667 2.667 6.784" Properties=species:S:1:pos:R:3 pbc="T T T"
Te 4.001 4.430 5.088
Te 6.669 6.240 5.088
Te 3.572 1.334 1.696
Te 1.763 4.001 1.696
O 2.667 2.667 0.000
O 2.667 5.335 3.392
Au 5.335 2.667 3.392
Au 0.000 0.000 0.000
```

Properties
Symmetry = I-42d, No. 122
Total magnetic moment = 0.0 Bohr magnetons per cell
Calculated volume = 193.08 Å³ per cell
Raw formation energy = 0.9 kJ per mole of atoms

Entry from the Alexandria database: a geometry-optimized TeAu2O structure (GGA-PBE).

```
8
Lattice="-2.241 1.859 -4.230 -4.241 -2.692 1.064 -5.603 4.684 1.911" Properties=species:S:1:pos:R:3 pbc="T T T"
Au -9.475 3.037 -1.437
Au -4.543 -0.104 0.216
Au -7.032 2.947 0.346
Au -3.121 1.822 -1.635
Te 0.000 0.000 0.000
Te -5.543 3.063 -1.951
O -3.241 -0.417 -1.583
O -6.543 0.788 0.696
```

Properties
Symmetry = I-42d, No. 122
Total magnetic moment = 0.0 Bohr magnetons per cell
Offset from the most stable computed form = 0 meV/atom
Calculated volume = 174.52 Å³ per cell
Raw formation energy = 22.9 kJ per mole of atoms